{"formula": "SrCa2CdAs", "functional": "PBE-GGA", "state": "optimized geometry", "cell": [[5.6142, 0.0000, 0.0000], [0.0000, 5.6142, 0.0000], [0.0000, 0.0000, 5.9986]], "species": ["Cd", "Ca", "Ca", "As", "Sr"], "frac_coords": [[0.5000, 0.5000, 0.5000], [0.5000, 0.0000, 0.0000], [0.0000, 0.5000, 0.0000], [0.0000, 0.0000, 0.0000], [0.0000, 0.0000, 0.5000]], "mass_density_g_cm3": 3.1, "formation_enthalpy_0k_kj_per_mol_atoms": -51.14, "sg": "P4/mmm, No. 123", "volume_a3_per_cell": 189.1}